(w)
Material: LaCe2Dy
Method: DFT, PBE-GGA
State: optimized geometry

Values from the calculation:
The calculation puts the density at 7.30 Mg/m³. Its crystal system is cubic.

Lattice parameters (Å, degrees): 5.721 5.721 5.721 60.00 60.00 60.00
Positions (direct):
1 La 0.000 0.000 0.000
2 Ce 0.250 0.250 0.250
3 Ce 0.750 0.750 0.750
4 Dy 0.500 0.500 0.500


(x)
Material: LaCe2Dy
Method: DFT, PBE-GGA
State: optimized geometry

Values from the calculation:
The calculation puts the density at 7.72 Mg/m³. Its crystal system is tetragonal.

Lattice parameters (Å, degrees): 4.944 4.944 5.117 90.00 90.00 90.00
Positions (direct):
1 La 0.000 0.000 0.000
2 Ce 0.000 0.500 0.500
3 Ce 0.500 0.000 0.500
4 Dy 0.500 0.500 0.000


List of relative energies, unit meV/atom: (w) 162; (x) 0


(w)
Material: LaCe2Dy
Method: DFT, PBE-GGA
State: optimized geometry

Values from the calculation:
The calculation puts the density at 7.93 Mg/m³. Its crystal system is trigonal.

Lattice parameters (Å, degrees): 12.404 12.404 12.404 15.70 15.70 15.70
Positions (direct):
1 La 0.000 0.000 0.000
2 Ce 0.087 0.087 0.087
3 Ce 0.913 0.913 0.913
4 Dy 0.500 0.500 0.500


(x)
Material: LaCe2Dy
Method: DFT, PBE-GGA
State: optimized geometry

Values from the calculation:
The calculation puts the density at 7.84 Mg/m³. Its crystal system is tetragonal.

Lattice parameters (Å, degrees): 3.483 3.483 10.150 90.00 90.00 90.00
Positions (direct):
1 La 0.000 0.000 0.000
2 Ce 0.500 0.500 0.251
3 Ce 0.500 0.500 0.749
4 Dy 0.000 0.000 0.500


List of relative energies, unit meV/atom: (w) 83; (x) 0